(1)
12
Lattice="2.068 -7.414 0.000 2.068 7.414 0.000 0.000 0.000 10.516" Properties=species:S:1:pos:R:3 comment="KPaPdSe3 PBE optimized geometry" total_magnetization_mub_per_cell=0.16 sg="Cmcm, No. 63" e_form_raw_kj_per_mol_atoms=-121.2 pbc="T T T"
K 2.068 3.717 7.887
K 2.068 -3.717 2.629
Pa 0.000 0.000 0.000
Pa 0.000 0.000 5.258
Pd 2.068 0.484 2.629
Pd 2.068 -0.484 7.887
Se 2.068 6.370 2.629
Se 2.068 1.890 0.502
Se 2.068 1.890 4.755
Se 2.068 -1.890 5.760
Se 2.068 -1.890 10.013
Se 2.068 -6.370 7.887

=====

(2)
16
Lattice="7.252 -4.176 0.000 7.252 4.176 0.000 -4.836 0.000 7.724" Properties=species:S:1:pos:R:3 comment="K4Pa3PdSe8 PBE optimized geometry" total_magnetization_mub_per_cell=2.96 sg="C2/m, No. 12" e_form_raw_kj_per_mol_atoms=-116.3 pbc="T T T"
K 0.000 0.000 0.000
K 3.626 2.088 0.000
K 3.626 -2.088 0.000
K 7.252 0.000 0.000
Pa -2.418 0.000 3.862
Pa 1.208 2.088 3.862
Pa 1.208 -2.088 3.862
Pd 4.833 0.000 3.862
Se 3.600 2.127 5.433
Se -0.004 0.000 5.493
Se 2.359 0.000 2.282
Se 6.067 2.127 2.291
Se 3.600 -2.127 5.433
Se 7.308 0.000 5.442
Se 9.670 0.000 2.230
Se 6.067 -2.127 2.291

=====

(3)
18
Lattice="-3.971 3.971 7.371 3.971 -3.971 7.371 3.971 3.971 -7.371" Properties=species:S:1:pos:R:3 comment="KPa2PdSe5 PBE optimized geometry" total_magnetization_mub_per_cell=2.00 sg="I4/mcm, No. 140" e_form_raw_kj_per_mol_atoms=-115.5 pbc="T T T"
K 0.000 0.000 3.686
K 0.000 0.000 11.057
Pa 5.209 1.238 0.000
Pa 1.238 2.734 0.000
Pa 2.734 1.238 7.371
Pa -1.238 2.734 7.371
Pd 3.971 0.000 3.686
Pd 0.000 3.971 3.686
Se 0.000 0.000 0.000
Se 2.794 1.178 -1.777
Se 2.794 -1.178 5.595
Se 2.794 1.178 1.777
Se 2.794 -1.178 9.148
Se 0.000 0.000 7.371
Se 1.178 5.149 -1.777
Se 1.178 2.794 5.595
Se 1.178 5.149 1.777
Se 1.178 2.794 9.148

=====

(4)
12
Lattice="3.637 -6.271 0.000 3.637 6.271 0.000 -2.434 0.000 8.403" Properties=species:S:1:pos:R:3 comment="K3PaTe6Pd2 PBE optimized geometry" total_magnetization_mub_per_cell=0.00 sg="C2/m, No. 12" e_form_raw_kj_per_mol_atoms=-65.8 pbc="T T T"
K 0.000 0.000 0.000
K 3.637 2.016 0.000
K 3.637 -2.016 0.000
Pa 2.420 0.000 4.201
Te 1.144 2.213 2.580
Te -0.149 0.000 5.799
Te 1.144 -2.213 2.580
Te 3.696 2.213 5.823
Te 4.988 0.000 2.603
Te 3.696 -2.213 5.823
Pd 2.420 4.172 4.201
Pd 2.420 -4.172 4.201

=====

(5)
8
Lattice="7.799 0.000 0.000 0.000 4.304 0.000 -3.188 0.000 8.296" Properties=species:S:1:pos:R:3 comment="K2PaTe4Pd PBE optimized geometry" total_magnetization_mub_per_cell=0.92 sg="P2/m, No. 10" e_form_raw_kj_per_mol_atoms=-73.6 pbc="T T T"
K 0.000 0.000 0.000
K 3.900 2.152 0.000
Pa -1.594 2.152 4.148
Te -0.663 0.000 6.066
Te 1.222 2.152 2.791
Te 3.389 2.152 5.504
Te 5.274 0.000 2.230
Pd 2.306 0.000 4.148

=====

(6)
14
Lattice="7.633 0.000 0.000 0.000 6.208 0.000 -3.118 0.000 9.405" Properties=species:S:1:pos:R:3 comment="KPaTe4Pd PBE optimized geometry" total_magnetization_mub_per_cell=0.00 sg="P2_1/m, No. 11" e_form_raw_kj_per_mol_atoms=-69.8 pbc="T T T"
K 1.511 1.552 0.534
K 3.004 4.656 8.871
Pa 0.396 1.552 5.262
Pa 4.120 4.656 4.143
Te -2.024 3.128 6.604
Te -2.024 6.184 6.604
Te 1.402 4.656 5.670
Te 3.093 4.656 1.335
Te 1.422 1.552 8.069
Te 3.113 1.552 3.734
Te 6.540 0.024 2.800
Te 6.540 3.080 2.800
Pd 1.072 4.656 3.053
Pd 3.444 1.552 6.352

=====

(7)
12
Lattice="3.820 -6.613 0.000 3.820 6.613 0.000 -2.544 0.000 8.247" Properties=species:S:1:pos:R:3 comment="K3Pa2Te6Pd PBE optimized geometry" total_magnetization_mub_per_cell=0.98 sg="C2/m, No. 12" e_form_raw_kj_per_mol_atoms=-80.9 pbc="T T T"
K 0.000 0.000 0.000
K 3.820 2.194 0.000
K 3.820 -2.194 0.000
Pa 2.548 4.408 4.124
Pa 2.548 -4.408 4.124
Te 1.285 2.186 2.442
Te 0.022 0.000 5.806
Te 1.285 -2.186 2.442
Te 3.812 2.186 5.805
Te 5.074 0.000 2.442
Te 3.812 -2.186 5.805
Pd 2.548 0.000 4.124

=====

(8)
9
Lattice="7.788 -2.161 0.000 7.788 2.161 0.000 -2.632 0.000 8.117" Properties=species:S:1:pos:R:3 comment="K2PaTe4Pd2 PBE optimized geometry" total_magnetization_mub_per_cell=0.00 sg="C2/m, No. 12" e_form_raw_kj_per_mol_atoms=-81.3 pbc="T T T"
K 1.930 0.000 0.600
K 11.013 0.000 7.516
Pa -1.316 0.000 4.058
Te 1.295 0.000 5.572
Te 5.647 0.000 6.077
Te 7.296 0.000 2.040
Te 11.648 0.000 2.544
Pd 3.711 0.000 4.150
Pd 9.232 0.000 3.967